VASP calculation (GGA-PBE) on an optimized crystal structure of AcUCl6.

Summary:
Uncorrected formation energy   -2010.7 meV/atom
Total DFT energy (no corrections)   -0.39103 Ry/atom
Magnetic moment   3.00 μB per formula unit

Structure (CIF):
```
data_AcUCl6
_cell_length_a 7.0780
_cell_length_b 7.0780
_cell_length_c 19.7398
_cell_angle_alpha 90.00
_cell_angle_beta 90.00
_cell_angle_gamma 120.00
_symmetry_space_group_name_H-M 'R -3'
_symmetry_Int_Tables_number 148
_symmetry_space_group_name_Hall '-R 3'
loop_
_atom_site_label
_atom_site_type_symbol
_atom_site_fract_x
_atom_site_fract_y
_atom_site_fract_z
Ac1 Ac 0.0000 0.0000 0.0000
U1 U 0.0000 0.0000 0.5000
Cl1 Cl 0.0102 0.3228 0.5815
```